# 1
LaHoGeRh: relaxed, PBE.

Values from the calculation:
total energy: -6.03 eV per atom
E above lowest polymorph: 0.0 meV/atom
ΔH_f (0 K): -661 meV/atom
crystal system: cubic
symmetry: No. 216
calculated density: 8.60 Mg/m³

a b c (Å): 5.0781 5.0781 5.0781
angles (deg): 60.00 60.00 60.00
Positions (direct):
1 La 0.0000 0.0000 0.0000
2 Ho 0.5000 0.5000 0.5000
3 Ge 0.2500 0.2500 0.2500
4 Rh 0.7500 0.7500 0.7500

***

# 2
La2HoGe3Rh4: relaxed, PBE.

Values from the calculation:
total energy: -6.68 eV per atom
ΔH_f (0 K): -913 meV/atom
crystal system: tetragonal
symmetry: No. 115
calculated density: 8.88 Mg/m³

a b c (Å): 4.2271 4.2271 11.2166
angles (deg): 90.00 90.00 90.00
Positions (direct):
1 La 0.0000 0.5000 0.2333
2 La 0.5000 0.0000 0.7667
3 Ho 0.0000 0.0000 0.5000
4 Ge 0.0000 0.5000 0.8801
5 Ge 0.5000 0.0000 0.1199
6 Ge 0.5000 0.5000 0.5000
7 Rh 0.0000 0.0000 0.0000
8 Rh 0.0000 0.5000 0.6571
9 Rh 0.5000 0.0000 0.3429
10 Rh 0.5000 0.5000 0.0000